Entry from the Alexandria database: crystalline NiAs2Os at its relaxed geometry (PBE-GGA).

```
NiAs2Os
1.0
1.463 -2.547 0.000
1.463 2.547 0.000
0.000 0.000 8.167
Ni As Os
1 2 1
direct
0.000 0.000 0.000
0.500 0.500 0.243
0.500 0.500 0.757
0.000 0.000 0.500
```

Summary:
The calculation puts the volume at 61 Å³/f.u. The total energy comes out at -6.1088 eV/atom. As for the formation energy from the elements: 0.4687 eV per atom. The calculation puts the energy above the most stable polymorph in this dataset at 386 meV per atom.